Computed, not measured: a relaxed structure of CdTcNi3 at the PBE level of DFT.

```
5
Lattice="4.493 0.000 0.000 0.000 4.493 0.000 0.000 0.000 4.493" Properties=species:S:1:pos:R:3 pbc="T T T"
Ni 0.000 2.246 0.000
Ni 0.000 0.000 2.246
Ni 2.246 0.000 0.000
Tc 0.000 0.000 0.000
Cd 2.246 2.246 2.246
```

## Properties
* E_form: 1.1216 eV/atom
* space group: No. 221
* offset from the most stable computed form: 0.0 meV/atom
* D(E_F): 5.77 states/eV per cell
* volume: 91 Å³/f.u.
* magnetization: 0.000 μB/cell
* uncorrected energy: -4.603 eV/atom



Computed, not measured: a relaxed structure of CdTc2Ni at the PBE level of DFT.

```
4
Lattice="5.101 0.005 0.000 2.438 4.481 0.000 -3.769 -2.243 2.604" Properties=species:S:1:pos:R:3 pbc="T T T"
Cd 1.219 2.240 1.302
Ni 2.550 0.003 1.302
Tc 0.000 0.000 0.000
Tc 3.769 2.243 0.000
```

## Properties
* E_form: 0.3420 eV/atom
* space group: No. 139
* D(E_F): 3.28 states/eV per cell
* volume: 59 Å³/f.u.
* magnetization: 0.000 μB/cell
* uncorrected energy: -6.515 eV/atom



Computed, not measured: a relaxed structure of CdTc2Ni at the PBE level of DFT.

```
8
Lattice="3.657 0.000 0.000 0.000 3.657 0.000 1.828 1.828 9.740" Properties=species:S:1:pos:R:3 pbc="T T T"
Ni 1.828 1.828 0.000
Ni 1.828 3.657 4.870
Tc 2.594 0.914 2.435
Tc 1.063 2.742 2.435
Tc 2.742 2.891 7.305
Tc 4.571 4.422 7.305
Cd 0.000 0.000 0.000
Cd 3.657 1.828 4.870
```

## Properties
* E_form: 0.6610 eV/atom
* space group: No. 122
* D(E_F): 8.31 states/eV per cell
* volume: 65 Å³/f.u.
* magnetization: 0.000 μB/cell
* uncorrected energy: -6.196 eV/atom



Computed, not measured: a relaxed structure of CdTc2Ni at the PBE level of DFT.

```
4
Lattice="-0.688 2.086 -4.186 2.292 -2.524 -3.275 -3.078 -1.331 3.332" Properties=species:S:1:pos:R:3 pbc="T T T"
Cd 0.802 -0.219 -3.731
Ni -1.482 0.268 -2.292
Tc 0.000 0.000 0.000
Tc 0.008 -2.037 -1.837
```

## Properties
* E_form: 0.3511 eV/atom
* space group: No. 119
* D(E_F): 4.64 states/eV per cell
* volume: 59 Å³/f.u.
* magnetization: 0.000 μB/cell
* uncorrected energy: -6.506 eV/atom



Computed, not measured: a relaxed structure of CdTc2Ni at the PBE level of DFT.

```
4
Lattice="-0.902 -1.179 2.396 2.623 0.080 1.027 -1.341 6.888 2.885" Properties=species:S:1:pos:R:3 pbc="T T T"
Cd -0.690 3.545 1.485
Ni -0.170 4.745 3.929
Tc -1.335 6.860 2.873
Tc 0.565 0.970 2.348
```

## Properties
* E_form: 0.1737 eV/atom
* space group: No. 99
* D(E_F): 4.47 states/eV per cell
* volume: 60 Å³/f.u.
* magnetization: 0.000 μB/cell
* uncorrected energy: -6.683 eV/atom



Computed, not measured: a relaxed structure of CdTc2Ni at the PBE level of DFT.

```
4
Lattice="-5.792 5.952 4.063 -7.617 4.605 2.500 -6.915 3.604 4.968" Properties=species:S:1:pos:R:3 pbc="T T T"
Cd -5.081 3.540 2.883
Ni -15.243 10.621 8.648
Tc -0.179 0.125 0.101
Tc -9.983 6.956 5.664
```

## Properties
* E_form: 0.3591 eV/atom
* space group: No. 166
* D(E_F): 4.53 states/eV per cell
* volume: 60 Å³/f.u.
* magnetization: 0.000 μB/cell
* uncorrected energy: -6.498 eV/atom